# TaBiPb2 | the Alexandria database | PBE | relaxed
# - symmetry = I-42d (122)
# - N(E_F) (states/eV/atom) = 0.385
# - V (Å³ per atom) = 38.8
# - ΔE_f (eV/f.u.) = 4.10
# - calculated total energy (eV/f.u.) = -19.05
data_TaBiPb2
_chemical_formula_sum 'Ta2 Bi2 Pb4'
_cell_length_a 6.643
_cell_length_b 6.643
_cell_length_c 8.458
_cell_angle_alpha 66.88
_cell_angle_beta 66.88
_cell_angle_gamma 90.00
_symmetry_space_group_name_H-M 'P 1'
_symmetry_Int_Tables_number 1
loop_
_symmetry_equiv_pos_as_xyz
'x,y,z'
loop_
_atom_site_label
_atom_site_type_symbol
_atom_site_fract_x
_atom_site_fract_y
_atom_site_fract_z
Pb1 Pb 0.579 0.125 0.250
Pb2 Pb 0.171 0.625 0.250
Pb3 Pb 0.375 0.421 0.750
Pb4 Pb 0.875 0.829 0.750
Bi1 Bi 0.000 0.000 0.000
Bi2 Bi 0.750 0.250 0.500
Ta1 Ta 0.500 0.500 0.000
Ta2 Ta 0.250 0.750 0.500

# Pr2ThTe | the Alexandria database | PBE | relaxed
# - symmetry = P4/mmm (123)
# - N(E_F) (states/eV/atom) = 0.619
# - V (Å³ per atom) = 32.3
# - calculated total energy (eV/f.u.) = -22.46
data_Pr2ThTe
_chemical_formula_sum 'Pr2 Th1 Te1'
_cell_length_a 3.915
_cell_length_b 3.915
_cell_length_c 8.437
_cell_angle_alpha 90.00
_cell_angle_beta 90.00
_cell_angle_gamma 90.00
_symmetry_space_group_name_H-M 'P 1'
_symmetry_Int_Tables_number 1
loop_
_symmetry_equiv_pos_as_xyz
'x,y,z'
loop_
_atom_site_label
_atom_site_type_symbol
_atom_site_fract_x
_atom_site_fract_y
_atom_site_fract_z
Pr1 Pr 0.000 0.000 0.775
Pr2 Pr 0.000 0.000 0.225
Te1 Te 0.500 0.500 0.000
Th1 Th 0.500 0.500 0.500

# NdEr2In | the Alexandria database | PBE | relaxed
# - symmetry = Fm-3m (225)
# - N(E_F) (states/eV/atom) = 1.525
# - V (Å³ per atom) = 28.8
# - excess energy over the best structure of this formula in the dataset (eV/atom) = 0.178
# - ΔE_f (eV/f.u.) = -0.33
# - calculated total energy (eV/f.u.) = -16.96
data_NdEr2In
_chemical_formula_sum 'Nd1 Er2 In1'
_cell_length_a 5.464
_cell_length_b 5.464
_cell_length_c 5.464
_cell_angle_alpha 60.00
_cell_angle_beta 60.00
_cell_angle_gamma 60.00
_symmetry_space_group_name_H-M 'P 1'
_symmetry_Int_Tables_number 1
loop_
_symmetry_equiv_pos_as_xyz
'x,y,z'
loop_
_atom_site_label
_atom_site_type_symbol
_atom_site_fract_x
_atom_site_fract_y
_atom_site_fract_z
In1 In 0.000 0.000 0.000
Nd1 Nd 0.500 0.500 0.500
Er1 Er 0.250 0.250 0.250
Er2 Er 0.750 0.750 0.750

# LiLaW2 | the Alexandria database | PBE | relaxed
# - symmetry = I-42d (122)
# - N(E_F) (states/eV/atom) = 1.085
# - V (Å³ per atom) = 19.9
# - excess energy over the best structure of this formula in the dataset (eV/atom) = 0.737
# - ΔE_f (eV/f.u.) = 4.75
# - calculated total energy (eV/f.u.) = -28.00
data_LiLaW2
_chemical_formula_sum 'Li2 La2 W4'
_cell_length_a 8.033
_cell_length_b 8.033
_cell_length_c 6.195
_cell_angle_alpha 49.58
_cell_angle_beta 49.58
_cell_angle_gamma 90.00
_symmetry_space_group_name_H-M 'P 1'
_symmetry_Int_Tables_number 1
loop_
_symmetry_equiv_pos_as_xyz
'x,y,z'
loop_
_atom_site_label
_atom_site_type_symbol
_atom_site_fract_x
_atom_site_fract_y
_atom_site_fract_z
Li1 Li 0.500 0.500 0.000
Li2 Li 0.250 0.750 0.500
W1 W 0.574 0.125 0.250
W2 W 0.176 0.625 0.250
W3 W 0.375 0.426 0.750
W4 W 0.875 0.824 0.750
La1 La 0.000 0.000 0.000
La2 La 0.750 0.250 0.500

# ThAlCuTc | the Alexandria database | PBE | relaxed
# - symmetry = F-43m (216)
# - N(E_F) (states/eV/atom) = 0.965
# - V (Å³ per atom) = 18.5
# - ΔE_f (eV/f.u.) = -0.31
# - calculated total energy (eV/f.u.) = -25.94
data_ThAlCuTc
_chemical_formula_sum 'Th1 Al1 Cu1 Tc1'
_cell_length_a 4.710
_cell_length_b 4.710
_cell_length_c 4.710
_cell_angle_alpha 60.00
_cell_angle_beta 60.00
_cell_angle_gamma 60.00
_symmetry_space_group_name_H-M 'P 1'
_symmetry_Int_Tables_number 1
loop_
_symmetry_equiv_pos_as_xyz
'x,y,z'
loop_
_atom_site_label
_atom_site_type_symbol
_atom_site_fract_x
_atom_site_fract_y
_atom_site_fract_z
Cu1 Cu 0.250 0.250 0.250
Tc1 Tc 0.750 0.750 0.750
Th1 Th 0.000 0.000 0.000
Al1 Al 0.500 0.500 0.500

# Y2PtBr | the Alexandria database | PBE | relaxed
# - symmetry = Immm (71)
# - N(E_F) (states/eV/atom) = 0.658
# - V (Å³ per atom) = 24.2
# - excess energy over the best structure of this formula in the dataset (eV/atom) = 0.338
# - calculated total energy (eV/f.u.) = -24.27
data_Y2PtBr
_chemical_formula_sum 'Y2 Pt1 Br1'
_cell_length_a 5.315
_cell_length_b 5.315
_cell_length_c 5.315
_cell_angle_alpha 132.54
_cell_angle_beta 114.22
_cell_angle_gamma 85.05
_symmetry_space_group_name_H-M 'P 1'
_symmetry_Int_Tables_number 1
loop_
_symmetry_equiv_pos_as_xyz
'x,y,z'
loop_
_atom_site_label
_atom_site_type_symbol
_atom_site_fract_x
_atom_site_fract_y
_atom_site_fract_z
Y1 Y 0.006 0.006 0.000
Y2 Y 0.494 0.494 0.000
Br1 Br 0.750 0.250 0.500
Pt1 Pt 0.250 0.750 0.500